LaRe2MoIr: single point on PBEsol structure, SCAN.

Lattice parameters (Å, degrees): 4.724 4.724 5.203 90.00 90.00 90.00
Positions (direct):
La 0.000 0.000 0.000
Re 0.000 0.500 0.500
Re 0.500 0.000 0.500
Mo 0.500 0.500 0.000
Ir 0.000 0.000 0.500

Computed properties:
energy of formation from the pure elements	1632.3	meV per atom

Al2CuAs: single point on PBEsol structure, SCAN.

Lattice parameters (Å, degrees): 3.904 3.904 8.109 90.00 90.00 90.00
Positions (direct):
Al 0.000 0.000 0.000
Al 0.000 0.500 0.250
Al 0.500 0.000 0.750
Al 0.500 0.500 0.500
Cu 0.000 0.500 0.750
Cu 0.500 0.000 0.250
As 0.000 0.000 0.500
As 0.500 0.500 0.000

Computed properties:
energy of formation from the pure elements	89.5	meV per atom